PaTiO6 | PBE | optimized geometry

## Properties
calculated total energy	-260.436	eV/cell
V	17.1	Å³/atom
excess energy over the best structure of this formula in the dataset	0.0000	eV/atom
magnetic moment	3.05	μB per formula unit

Structure (CIF):
```
data_PaTiO6
_space_group_name_H-M_alt 'F m -3 m'
_space_group_IT_number 225
_space_group_name_Hall '-F 4 2 3'
_cell_length_a 8.1786
_cell_length_b 8.1786
_cell_length_c 8.1786
_cell_angle_alpha 90.00
_cell_angle_beta 90.00
_cell_angle_gamma 90.00
loop_
_atom_site_label
_atom_site_fract_x
_atom_site_fract_y
_atom_site_fract_z
_atom_site_occupancy
Pa1 0.0000 0.0000 0.0000 1
Ti1 0.0000 0.0000 0.5000 1
O1 0.0000 0.0000 0.2622 1
```